1.
An optimized crystal structure of Re2PRh, computed with PBE-GGA.

a b c (Å): 3.852 2.857 10.389
angles (deg): 90.00 90.00 90.00
Fractional positions:
Re 0.000 0.000 0.000
Re 0.000 0.500 0.500
Re 0.500 0.000 0.383
Re 0.500 0.500 0.883
P 0.000 0.000 0.225
P 0.000 0.500 0.725
Rh 0.500 0.000 0.651
Rh 0.500 0.500 0.151

Properties
- SG = Amm2 (38)



2.
An optimized crystal structure of Cs12Tl5Hg3, computed with PBE-GGA.

a b c (Å): 19.941 19.941 19.941
angles (deg): 109.47 109.47 109.47
Fractional positions:
Cs 0.049 0.224 0.121
Cs 0.049 0.326 0.929
Cs 0.071 0.621 0.397
Cs 0.071 0.951 0.674
Cs 0.103 0.724 0.674
Cs 0.103 0.879 0.429
Cs 0.121 0.049 0.224
Cs 0.121 0.571 0.897
Cs 0.174 0.224 0.603
Cs 0.174 0.451 0.571
Cs 0.224 0.121 0.049
Cs 0.224 0.603 0.174
Cs 0.276 0.326 0.897
Cs 0.276 0.451 0.379
Cs 0.326 0.897 0.276
Cs 0.326 0.929 0.049
Cs 0.379 0.276 0.451
Cs 0.379 0.603 0.929
Cs 0.397 0.071 0.621
Cs 0.397 0.826 0.776
Cs 0.429 0.103 0.879
Cs 0.429 0.826 0.549
Cs 0.451 0.379 0.276
Cs 0.451 0.571 0.174
Cs 0.549 0.429 0.826
Cs 0.549 0.621 0.724
Cs 0.571 0.174 0.451
Cs 0.571 0.897 0.121
Cs 0.603 0.174 0.224
Cs 0.603 0.929 0.379
Cs 0.621 0.397 0.071
Cs 0.621 0.724 0.549
Cs 0.674 0.071 0.951
Cs 0.674 0.103 0.724
Cs 0.724 0.549 0.621
Cs 0.724 0.674 0.103
Cs 0.776 0.397 0.826
Cs 0.776 0.879 0.951
Cs 0.826 0.549 0.429
Cs 0.826 0.776 0.397
Cs 0.879 0.429 0.103
Cs 0.879 0.951 0.776
Cs 0.897 0.121 0.571
Cs 0.897 0.276 0.326
Cs 0.929 0.049 0.326
Cs 0.929 0.379 0.603
Cs 0.951 0.674 0.071
Cs 0.951 0.776 0.879
Tl 0.000 0.000 0.000
Tl 0.000 0.000 0.500
Tl 0.000 0.500 0.000
Tl 0.000 0.500 0.500
Tl 0.125 0.750 0.875
Tl 0.125 0.875 0.250
Tl 0.250 0.125 0.875
Tl 0.250 0.625 0.375
Tl 0.375 0.250 0.625
Tl 0.375 0.625 0.750
Tl 0.500 0.000 0.000
Tl 0.500 0.000 0.500
Tl 0.500 0.500 0.000
Tl 0.500 0.500 0.500
Tl 0.625 0.375 0.250
Tl 0.625 0.750 0.375
Tl 0.750 0.375 0.625
Tl 0.750 0.875 0.125
Tl 0.875 0.125 0.750
Tl 0.875 0.250 0.125
Hg 0.125 0.250 0.375
Hg 0.125 0.375 0.750
Hg 0.250 0.375 0.125
Hg 0.250 0.875 0.625
Hg 0.375 0.125 0.250
Hg 0.375 0.750 0.125
Hg 0.625 0.250 0.875
Hg 0.625 0.875 0.750
Hg 0.750 0.125 0.375
Hg 0.750 0.625 0.875
Hg 0.875 0.625 0.250
Hg 0.875 0.750 0.625

Properties
- SG = Ia-3d (230)



3.
An optimized crystal structure of La3Tb2Hg2, computed with PBE-GGA.

a b c (Å): 5.034 23.549 3.597
angles (deg): 90.00 90.00 90.00
Fractional positions:
La 0.000 0.000 0.000
La 0.000 0.142 0.000
La 0.000 0.858 0.000
La 0.500 0.358 0.000
La 0.500 0.500 0.000
La 0.500 0.642 0.000
Tb 0.000 0.291 0.500
Tb 0.000 0.709 0.500
Tb 0.500 0.209 0.500
Tb 0.500 0.791 0.500
Hg 0.000 0.429 0.500
Hg 0.000 0.571 0.500
Hg 0.500 0.071 0.500
Hg 0.500 0.929 0.500

Properties
- SG = Cmmm (65)



4.
An optimized crystal structure of Ce2AlGa3Pt4, computed with PBE-GGA.

a b c (Å): 4.207 4.207 10.778
angles (deg): 90.00 90.00 90.00
Fractional positions:
Ce 0.000 0.500 0.245
Ce 0.500 0.000 0.755
Al 0.500 0.500 0.000
Ga 0.000 0.000 0.000
Ga 0.000 0.500 0.634
Ga 0.500 0.000 0.366
Pt 0.000 0.000 0.500
Pt 0.000 0.500 0.865
Pt 0.500 0.000 0.135
Pt 0.500 0.500 0.500

Properties
- SG = P-4m2 (115)



Computed electronic total energy, in the same sequence as the records: -76.11, -83.40, -51.36, -58.55 eV for the cell shown.
Computed calculated formation energy, in the same sequence as the records: -9.6, 10.3, -14.2, -93.6 kJ/mol of atoms.